(1)
LaPr2Eu (PBE, relaxed); excess energy over the best structure of this formula in the dataset = 0.0 meV/atom
1.0
-2.3614 -1.8041 -2.2949
1.8433 -3.2104 0.6272
-6.4289 -2.0796 8.2498
Eu Pr La
1 2 1
direct
0.5000 0.5000 0.5000
0.0000 0.0000 0.7603
0.0000 0.0000 0.2397
0.5000 0.5000 0.0000


(2)
AgPbI3 (PBE, relaxed); excess energy over the best structure of this formula in the dataset = 39.0 meV/atom; formation energy (no corrections) = -0.43 eV/atom
1.0
7.5224 0.0000 0.0122
0.0000 8.3954 0.0000
-0.4944 0.0000 12.8073
Ag Pb I
4 4 12
direct
0.4710 0.5949 0.0956
0.0290 0.0949 0.4044
0.5290 0.4051 0.9044
0.9710 0.9051 0.5956
0.9261 0.6180 0.2503
0.5739 0.1180 0.2497
0.0739 0.3820 0.7497
0.4261 0.8820 0.7503
0.2002 0.6408 0.5842
0.2998 0.1408 0.9158
0.7998 0.3592 0.4158
0.7002 0.8592 0.0842
0.8078 0.0489 0.7627
0.6922 0.5489 0.7373
0.1922 0.9511 0.2373
0.3078 0.4511 0.2627
0.7160 0.8557 0.4211
0.7840 0.3557 0.0789
0.2840 0.1443 0.5789
0.2160 0.6443 0.9211


(3)
Pm5Y4Sc4 (PBE, relaxed); raw total energy = -5.7150 eV per atom
1.0
-4.1301 -2.5171 -1.1124
0.5432 -7.9117 4.8142
-6.2801 2.6260 6.3032
Pm Y Sc
5 4 4
direct
0.6926 0.8517 0.7631
0.3074 0.1483 0.2369
0.0000 0.0000 0.0000
0.5443 0.7631 0.1483
0.4557 0.2369 0.8517
0.9208 0.4614 0.6971
0.6178 0.3029 0.4614
0.0792 0.5386 0.3029
0.3822 0.6971 0.5386
0.7668 0.3886 0.0779
0.2332 0.6114 0.9221
0.8447 0.9221 0.3886
0.1553 0.0779 0.6114


(4)
Ce4H2O (PBE, relaxed); raw total energy = -5.9177 eV per atom
1.0
-3.7118 2.7619 1.0466
-2.8426 -2.8843 -2.4701
2.3163 -3.0067 5.3999
H O Ce
2 1 4
direct
0.5768 0.5768 0.1535
0.4232 0.4232 0.8465
0.0000 0.0000 0.0000
0.7700 0.7700 0.5400
0.2300 0.2300 0.4600
0.0000 0.5000 0.0000
0.5000 0.0000 0.0000


(5)
SrY2Cr (PBE, relaxed); excess energy over the best structure of this formula in the dataset = 95.0 meV/atom
1.0
-3.4963 0.0958 1.5194
-1.5230 -0.2438 -3.4892
-1.5002 -9.0772 -2.8798
Cr Sr Y
1 1 2
direct
0.0000 0.5430 0.4571
0.5000 0.7910 0.7093
0.0000 0.9595 0.0403
0.5000 0.2065 0.2933


Number 1: spin magnetization 7.678 μB per formula unit. Number 2: spin magnetization 0.000 μB per formula unit. Number 3: spin magnetization 0.000 μB per formula unit. Number 4: spin magnetization 0.399 μB per formula unit. Number 5: spin magnetization 3.901 μB per formula unit.